(1)
# SnIr2OF | Alexandria via LeMat-Bulk | meta-GGA SCAN | single point on PBEsol structure
# Formation energy (no corrections), eV/atom: 1.433
# Total moment, μB per formula unit: 4.57
data_SnIr2OF
_cell_length_a 4.9461
_cell_length_b 4.9461
_cell_length_c 4.1235
_cell_angle_alpha 90.00
_cell_angle_beta 90.00
_cell_angle_gamma 90.00
_space_group_name_H-M_alt 'P 4/m m m'
_space_group_IT_number 123
_space_group_name_Hall '-P 4 2'
loop_
_atom_site_label
_atom_site_fract_x
_atom_site_fract_y
_atom_site_fract_z
Sn1 0.0000 0.0000 0.0000
Ir1 0.0000 0.5000 0.0000
O1 0.5000 0.5000 0.5000
F1 0.0000 0.0000 0.5000


(2)
# SrIrO2F | Alexandria via LeMat-Bulk | meta-GGA SCAN | single point on PBEsol structure
# Formation energy (no corrections), eV/atom: 0.001
# Total moment, μB per formula unit: 4.09
data_SrIrO2F
_cell_length_a 4.5222
_cell_length_b 4.5222
_cell_length_c 4.3528
_cell_angle_alpha 90.00
_cell_angle_beta 90.00
_cell_angle_gamma 90.00
_space_group_name_H-M_alt 'P 4/m m m'
_space_group_IT_number 123
_space_group_name_Hall '-P 4 2'
loop_
_atom_site_label
_atom_site_fract_x
_atom_site_fract_y
_atom_site_fract_z
Sr1 0.0000 0.0000 0.0000
Ir1 0.5000 0.5000 0.5000
O1 0.0000 0.5000 0.0000
F1 0.0000 0.0000 0.5000